No. 1
Crystalline RbCdGa2Co at its relaxed geometry. Source: Alexandria, functional GGA-PBE.

```
5
Lattice="4.7169 0.0000 0.0000 0.0000 4.7169 0.0000 0.0000 0.0000 5.1939" Properties=species:S:1:pos:R:3 pbc="T T T"
Rb 0.0000 0.0000 0.0000
Cd 2.3585 2.3585 0.0000
Ga 0.0000 2.3585 2.5969
Ga 2.3585 0.0000 2.5969
Co 2.3585 2.3585 2.5969
```

## Properties
For the calculated formation energy, the calculation gives -0.07 eV/atom. Its space-group type is No. 123. The total energy comes out at -3.081 eV per atom.

=====

No. 2
Crystalline RbCd2GaCo at its relaxed geometry. Source: Alexandria, functional GGA-PBE.

```
5
Lattice="5.1981 0.0000 0.0000 0.0000 5.1981 0.0000 0.0000 0.0000 4.6659" Properties=species:S:1:pos:R:3 pbc="T T T"
Rb 0.0000 0.0000 0.0000
Cd 0.0000 2.5990 2.3329
Cd 2.5990 0.0000 2.3329
Ga 2.5990 2.5990 0.0000
Co 2.5990 2.5990 2.3329
```

## Properties
For the calculated formation energy, the calculation gives 0.03 eV/atom. Its space-group type is No. 123. The total energy comes out at -2.560 eV per atom.

=====

No. 3
Crystalline CdGaCoRh at its relaxed geometry. Source: Alexandria, functional GGA-PBE.

```
4
Lattice="0.0000 3.0767 3.0767 3.0767 0.0000 3.0767 3.0767 3.0767 0.0000" Properties=species:S:1:pos:R:3 pbc="T T T"
Cd 0.0000 0.0000 0.0000
Ga 3.0767 3.0767 3.0767
Co 4.6151 4.6151 4.6151
Rh 1.5384 1.5384 1.5384
```

## Properties
For the calculated formation energy, the calculation gives -0.10 eV/atom. Its space-group type is No. 216. The total energy comes out at -4.704 eV per atom.

=====

No. 4
Crystalline CdGaCo2Sb at its relaxed geometry. Source: Alexandria, functional GGA-PBE.

```
5
Lattice="4.7688 0.0000 0.0000 0.0000 4.7688 0.0000 0.0000 0.0000 5.5351" Properties=species:S:1:pos:R:3 pbc="T T T"
Cd 0.0000 0.0000 0.0000
Ga 2.3844 2.3844 0.0000
Co 0.0000 2.3844 2.7676
Co 2.3844 0.0000 2.7676
Sb 0.0000 0.0000 2.7676
```

## Properties
Its space-group type is No. 123. The value obtained for the formation energy from raw total energies is 940 meV per atom. The total energy comes out at -3.515 eV per atom.

=====

No. 5
Crystalline Sc4CdGa2Co at its relaxed geometry. Source: Alexandria, functional GGA-PBE.

```
8
Lattice="2.3739 1.3705 7.7001 -2.3739 1.3705 7.7001 0.0000 -2.7411 7.7001" Properties=species:S:1:pos:R:3 pbc="T T T"
Sc 0.0000 0.0000 2.6728
Sc 0.0000 0.0000 8.5200
Sc 0.0000 0.0000 14.5804
Sc 0.0000 0.0000 20.4276
Cd 0.0000 0.0000 11.5502
Ga 0.0000 0.0000 5.6915
Ga 0.0000 0.0000 17.4089
Co 0.0000 0.0000 0.0000
```

## Properties
For the calculated formation energy, the calculation gives -0.46 eV/atom. Its space-group type is No. 166. The total energy comes out at -5.385 eV per atom.

=====

No. 6
Crystalline CdGa2CoSn at its relaxed geometry. Source: Alexandria, functional GGA-PBE.

```
5
Lattice="4.6153 0.0000 0.0000 0.0000 4.6153 0.0000 0.0000 0.0000 5.0025" Properties=species:S:1:pos:R:3 pbc="T T T"
Cd 0.0000 0.0000 0.0000
Ga 0.0000 2.3077 2.5012
Ga 2.3077 0.0000 2.5012
Co 2.3077 2.3077 2.5012
Sn 2.3077 2.3077 0.0000
```

## Properties
For the calculated formation energy, the calculation gives -0.01 eV/atom. Its space-group type is No. 123. The total energy comes out at -3.627 eV per atom.

=====

No. 7
Crystalline CdGaCoSn2 at its relaxed geometry. Source: Alexandria, functional GGA-PBE.

```
5
Lattice="4.9778 0.0000 0.0000 0.0000 4.9778 0.0000 0.0000 0.0000 4.6197" Properties=species:S:1:pos:R:3 pbc="T T T"
Cd 0.0000 0.0000 0.0000
Ga 2.4889 2.4889 0.0000
Co 2.4889 2.4889 2.3098
Sn 0.0000 2.4889 2.3098
Sn 2.4889 0.0000 2.3098
```

## Properties
For the calculated formation energy, the calculation gives 0.04 eV/atom. Its space-group type is No. 123. The total energy comes out at -3.767 eV per atom.

=====

No. 8
Crystalline SrCd2GaCo at its relaxed geometry. Source: Alexandria, functional GGA-PBE.

```
5
Lattice="5.0470 0.0000 0.0000 0.0000 5.0470 0.0000 0.0000 0.0000 4.6386" Properties=species:S:1:pos:R:3 pbc="T T T"
Sr 0.0000 0.0000 0.0000
Cd 0.0000 2.5235 2.3193
Cd 2.5235 0.0000 2.3193
Ga 2.5235 2.5235 0.0000
Co 2.5235 2.5235 2.3193
```

## Properties
For the calculated formation energy, the calculation gives -0.16 eV/atom. Its space-group type is No. 123. The total energy comes out at -2.885 eV per atom.